#A
The following is a DFT calculation (GGA+U) of a geometry-optimized TbCoNO structure.

Calculated volume ... 12.95 Å³/atom
Magnetic moment ... 5.68 μB/cell

Cell lengths 3.6803, 3.6803, 7.6503 Å; angles 90.00, 90.00, 90.00 degrees
Fractional coordinates of all 8 atoms:
Tb 0.2500 0.2500 0.1574
Tb 0.7500 0.7500 0.8426
Co 0.2500 0.7500 0.5000
Co 0.7500 0.2500 0.5000
N 0.2500 0.2500 0.6313
N 0.7500 0.7500 0.3687
O 0.2500 0.7500 0.0000
O 0.7500 0.2500 0.0000



#B
The following is a DFT calculation (GGA+U) of a geometry-optimized TbCoNO structure.

Calculated volume ... 13.97 Å³/atom
Magnetic moment ... 6.00 μB/cell

Cell lengths 3.7246, 6.0330, 4.9719 Å; angles 90.00, 90.00, 90.00 degrees
Fractional coordinates of all 8 atoms:
Tb 0.0000 0.1985 0.0000
Tb 0.0000 0.8015 0.5000
Co 0.5000 0.3065 0.5174
Co 0.5000 0.6935 0.0174
N 0.0000 0.1786 0.4816
N 0.0000 0.8214 0.9816
O 0.5000 0.3723 0.9330
O 0.5000 0.6277 0.4330



Q: What are the energies relative to the best structure? A: #A 6.7; #B 0.0, in kJ/mol of atoms.



#A
The following is a DFT calculation (GGA+U) of a geometry-optimized TbCoNO structure.

Calculated volume ... 12.28 Å³/atom
Magnetic moment ... 2.01 μB/cell

Cell lengths 3.7122, 3.7122, 7.1272 Å; angles 90.00, 90.00, 90.00 degrees
Fractional coordinates of all 8 atoms:
Tb 0.2500 0.2500 0.1663
Tb 0.7500 0.7500 0.8337
Co 0.2500 0.7500 0.5000
Co 0.7500 0.2500 0.5000
N 0.2500 0.2500 0.5865
N 0.7500 0.7500 0.4135
O 0.2500 0.7500 0.0000
O 0.7500 0.2500 0.0000



#B
The following is a DFT calculation (GGA+U) of a geometry-optimized TbCoNO structure.

Calculated volume ... 12.56 Å³/atom
Magnetic moment ... 5.95 μB/cell

Cell lengths 4.8035, 4.8035, 4.3541 Å; angles 90.00, 90.00, 90.00 degrees
Fractional coordinates of all 8 atoms:
Tb 0.2500 0.7500 0.0000
Tb 0.7500 0.2500 0.0000
Co 0.2500 0.2500 0.4989
Co 0.7500 0.7500 0.5011
N 0.2500 0.2500 0.0016
N 0.7500 0.7500 0.9984
O 0.2500 0.7500 0.5000
O 0.7500 0.2500 0.5000



#C
The following is a DFT calculation (GGA+U) of a geometry-optimized TbCoNO structure.

Calculated volume ... 13.96 Å³/atom
Magnetic moment ... 10.95 μB/cell

Cell lengths 5.4685, 7.4555, 5.4774 Å; angles 90.00, 90.00, 90.00 degrees
Fractional coordinates of all 16 atoms:
Tb 0.0347 0.1467 0.0000
Tb 0.4653 0.1467 0.5000
Tb 0.5347 0.8533 0.0000
Tb 0.9653 0.8533 0.5000
Co 0.0808 0.4688 0.6196
Co 0.4192 0.4688 0.1196
Co 0.5808 0.5312 0.6196
Co 0.9192 0.5312 0.1196
N 0.1349 0.3766 0.2960
N 0.3651 0.3766 0.7960
N 0.6349 0.6234 0.2960
N 0.8651 0.6234 0.7960
O 0.2475 0.9704 0.2433
O 0.2525 0.9704 0.7433
O 0.7475 0.0296 0.2433
O 0.7525 0.0296 0.7433



Q: What are the energies relative to the best structure? A: #A 12.5; #B 20.3; #C 0.0, in kJ/mol of atoms.



#A
The following is a DFT calculation (GGA+U) of a geometry-optimized CoTcNO structure.

Calculated volume ... 12.07 Å³/atom
Magnetic moment ... 5.40 μB/cell

Cell lengths 3.7419, 3.7419, 6.8989 Å; angles 90.00, 90.00, 90.00 degrees
Fractional coordinates of all 8 atoms:
Co 0.2500 0.2500 0.0925
Co 0.7500 0.7500 0.9075
Tc 0.2500 0.7500 0.5000
Tc 0.7500 0.2500 0.5000
N 0.2500 0.2500 0.6160
N 0.7500 0.7500 0.3840
O 0.2500 0.7500 0.0000
O 0.7500 0.2500 0.0000



#B
The following is a DFT calculation (GGA+U) of a geometry-optimized CoTcNO structure.

Calculated volume ... 9.46 Å³/atom
Magnetic moment ... 0.41 μB/cell

Cell lengths 3.4082, 3.4082, 6.5154 Å; angles 90.00, 90.00, 90.00 degrees
Fractional coordinates of all 8 atoms:
Co 0.2500 0.7500 0.0000
Co 0.7500 0.2500 0.0000
Tc 0.2500 0.2500 0.3150
Tc 0.7500 0.7500 0.6850
N 0.2500 0.2500 0.8556
N 0.7500 0.7500 0.1444
O 0.2500 0.7500 0.5000
O 0.7500 0.2500 0.5000



Q: What are the energies relative to the best structure? A: #A 0.0; #B 39.3, in kJ/mol of atoms.



#A
The following is a DFT calculation (GGA+U) of a geometry-optimized CoTcNO structure.

Calculated volume ... 11.09 Å³/atom
Magnetic moment ... 5.32 μB/cell

Cell lengths 5.2683, 6.6936, 5.0336 Å; angles 90.00, 90.00, 90.00 degrees
Fractional coordinates of all 16 atoms:
Co 0.0970 0.1270 0.0000
Co 0.4030 0.1270 0.5000
Co 0.5970 0.8730 0.0000
Co 0.9030 0.8730 0.5000
Tc 0.1424 0.6736 0.0303
Tc 0.3576 0.6736 0.5303
Tc 0.6424 0.3264 0.0303
Tc 0.8576 0.3264 0.5303
N 0.0543 0.1134 0.6179
N 0.4457 0.1134 0.1179
N 0.5543 0.8866 0.6179
N 0.9457 0.8866 0.1179
O 0.0004 0.4037 0.1506
O 0.9996 0.5963 0.6506
O 0.4996 0.4037 0.6506
O 0.5004 0.5963 0.1506



#B
The following is a DFT calculation (GGA+U) of a geometry-optimized CoTcNO structure.

Calculated volume ... 10.73 Å³/atom
Magnetic moment ... 2.53 μB/cell

Cell lengths 2.8638, 5.6251, 5.3268 Å; angles 90.00, 90.00, 90.00 degrees
Fractional coordinates of all 8 atoms:
Co 0.0000 0.2013 0.0000
Co 0.0000 0.7987 0.5000
Tc 0.5000 0.3758 0.4427
Tc 0.5000 0.6242 0.9427
N 0.5000 0.3109 0.7959
N 0.5000 0.6891 0.2959
O 0.0000 0.1255 0.3582
O 0.0000 0.8745 0.8582



Q: What are the energies relative to the best structure? A: #A 13.2; #B 0.0, in kJ/mol of atoms.



#A
The following is a DFT calculation (GGA+U) of a geometry-optimized CoTeNO structure.

Calculated volume ... 12.31 Å³/atom
Magnetic moment ... 3.12 μB/cell

Cell lengths 3.7051, 3.7051, 7.1708 Å; angles 90.00, 90.00, 90.00 degrees
Fractional coordinates of all 8 atoms:
Co 0.2500 0.7500 0.0000
Co 0.7500 0.2500 0.0000
Te 0.2500 0.2500 0.3095
Te 0.7500 0.7500 0.6905
N 0.2500 0.2500 0.9147
N 0.7500 0.7500 0.0853
O 0.2500 0.7500 0.5000
O 0.7500 0.2500 0.5000



#B
The following is a DFT calculation (GGA+U) of a geometry-optimized CoTeNO structure.

Calculated volume ... 14.15 Å³/atom
Magnetic moment ... 5.15 μB/cell

Cell lengths 3.2105, 6.7672, 5.2098 Å; angles 90.00, 90.00, 90.00 degrees
Fractional coordinates of all 8 atoms:
Co 0.0000 0.0940 0.0000
Co 0.0000 0.9060 0.5000
Te 0.5000 0.3617 0.5014
Te 0.5000 0.6383 0.0014
N 0.0000 0.1798 0.3676
N 0.0000 0.8202 0.8676
O 0.5000 0.1905 0.8175
O 0.5000 0.8095 0.3175



Q: What are the energies relative to the best structure? A: #A 42.9; #B 0.0, in kJ/mol of atoms.



#A
The following is a DFT calculation (GGA+U) of a geometry-optimized CoTeNO structure.

Calculated volume ... 15.62 Å³/atom
Magnetic moment ... 8.02 μB/cell

Cell lengths 6.4289, 7.4489, 5.2185 Å; angles 90.00, 90.00, 90.00 degrees
Fractional coordinates of all 16 atoms:
Co 0.1276 0.0879 0.0000
Co 0.3724 0.0879 0.5000
Co 0.6276 0.9121 0.0000
Co 0.8724 0.9121 0.5000
Te 0.0678 0.6964 0.9917
Te 0.4322 0.6964 0.4917
Te 0.5678 0.3036 0.9917
Te 0.9322 0.3036 0.4917
N 0.0780 0.0869 0.6200
N 0.4220 0.0869 0.1200
N 0.5780 0.9131 0.6200
N 0.9220 0.9131 0.1200
O 0.0631 0.3230 0.1579
O 0.4369 0.3230 0.6579
O 0.5631 0.6770 0.1579
O 0.9369 0.6770 0.6579



#B
The following is a DFT calculation (GGA+U) of a geometry-optimized CoTeNO structure.

Calculated volume ... 14.07 Å³/atom
Magnetic moment ... 5.56 μB/cell

Cell lengths 3.2889, 5.7620, 5.9392 Å; angles 90.00, 90.00, 90.00 degrees
Fractional coordinates of all 8 atoms:
Co 0.0000 0.1851 0.0000
Co 0.0000 0.8149 0.5000
Te 0.5000 0.3016 0.4259
Te 0.5000 0.6984 0.9259
N 0.5000 0.3807 0.0672
N 0.5000 0.6193 0.5672
O 0.0000 0.1088 0.6866
O 0.0000 0.8912 0.1866



Q: What are the energies relative to the best structure? A: #A 0.0; #B 5.4, in kJ/mol of atoms.